[1]
Computed, not measured: an optimized crystal structure of Sm2TlRh at the PBE-GGA level of DFT.

The structure in POSCAR format:
```
Sm2TlRh
1.0
1.9859 1.1466 8.2546
-1.9859 1.1466 8.2546
0.0000 -2.2932 8.2546
Sm Tl Rh
2 1 1
Cartesian
0.0000 0.0000 5.7742
0.0000 0.0000 18.9895
0.0000 0.0000 0.0000
0.0000 0.0000 12.3819
```

For the total energy, the calculation gives -5.289 eV per atom. For the total moment, the calculation gives 0.0 μB/f.u. Its calculated formation energy is -500 meV per atom.

[2]
Computed, not measured: an optimized crystal structure of Sm5TlRh4 at the PBE-GGA level of DFT.

The structure in POSCAR format:
```
Sm5TlRh4
1.0
3.5455 0.0000 0.0000
0.0000 3.5455 0.0000
0.0000 0.0000 18.2549
Sm Tl Rh
5 1 4
Cartesian
0.0000 0.0000 0.0000
0.0000 0.0000 3.4385
0.0000 0.0000 6.8506
0.0000 0.0000 11.4043
0.0000 0.0000 14.8164
1.7728 1.7728 9.1274
1.7728 1.7728 1.7203
1.7728 1.7728 5.1776
1.7728 1.7728 13.0772
1.7728 1.7728 16.5345
```

For the total energy, the calculation gives -6.179 eV per atom. For the total moment, the calculation gives 0.0 μB/f.u. Its calculated formation energy is -642 meV per atom.